# 1
# KLaOs2 GGA-PBE optimized geometry
data_KLaOs2
_cell_length_a 2.9900
_cell_length_b 2.9900
_cell_length_c 34.5498
_cell_angle_alpha 90.00
_cell_angle_beta 90.00
_cell_angle_gamma 120.00
_symmetry_space_group_name_H-M 'R 3 m'
_symmetry_Int_Tables_number 160
_symmetry_space_group_name_Hall 'R 3 -2"'
loop_
_atom_site_label
_atom_site_fract_x
_atom_site_fract_y
_atom_site_fract_z
K1 0.0000 0.0000 0.0000
La1 0.0000 0.0000 0.2194
Os1 0.0000 0.0000 0.4745
Os2 0.0000 0.0000 0.7516
# Fermi-level density of states	16.4	states/eV/cell
# volume	22.292	A^3/atom
# energy of formation from the pure elements	1.009	eV/atom
# size of the total moment	1.38	Bohr magnetons per cell

=====

# 2
# KLaOs2 GGA-PBE optimized geometry
data_KLaOs2
_cell_length_a 4.035
_cell_length_b 4.035
_cell_length_c 7.415
_cell_angle_alpha 90.00
_cell_angle_beta 90.00
_cell_angle_gamma 90.00
_symmetry_space_group_name_H-M 'P 4/m m m'
_symmetry_Int_Tables_number 123
_symmetry_space_group_name_Hall '-P 4 2'
loop_
_atom_site_label
_atom_site_fract_x
_atom_site_fract_y
_atom_site_fract_z
K1 0.000 0.000 0.000
La1 0.000 0.000 0.500
Os1 0.500 0.500 0.346
# Fermi-level density of states	5.4	states/eV/cell
# volume	30.185	A^3/atom
# energy of formation from the pure elements	1.000	eV/atom
# size of the total moment	1.15	Bohr magnetons per cell

=====

# 3
# KLa2Os GGA-PBE optimized geometry
data_KLa2Os
_cell_length_a 7.507
_cell_length_b 7.507
_cell_length_c 7.507
_cell_angle_alpha 90.00
_cell_angle_beta 90.00
_cell_angle_gamma 90.00
_symmetry_space_group_name_H-M 'F -4 3 m'
_symmetry_Int_Tables_number 216
_symmetry_space_group_name_Hall 'F -4 2 3'
loop_
_atom_site_label
_atom_site_fract_x
_atom_site_fract_y
_atom_site_fract_z
K1 0.000 0.000 0.000
La1 0.000 0.000 0.500
La2 0.250 0.250 0.750
Os1 0.250 0.250 0.250
# Fermi-level density of states	10.8	states/eV/cell
# volume	26.441	A^3/atom
# energy of formation from the pure elements	0.807	eV/atom
# size of the total moment	0.00	Bohr magnetons per cell

=====

# 4
# KLaOs2 GGA-PBE optimized geometry
data_KLaOs2
_cell_length_a 6.933
_cell_length_b 6.933
_cell_length_c 6.933
_cell_angle_alpha 90.00
_cell_angle_beta 90.00
_cell_angle_gamma 90.00
_symmetry_space_group_name_H-M 'F -4 3 m'
_symmetry_Int_Tables_number 216
_symmetry_space_group_name_Hall 'F -4 2 3'
loop_
_atom_site_label
_atom_site_fract_x
_atom_site_fract_y
_atom_site_fract_z
K1 0.000 0.000 0.000
La1 0.250 0.250 0.250
Os1 0.000 0.000 0.500
Os2 0.250 0.250 0.750
# Fermi-level density of states	23.8	states/eV/cell
# volume	20.830	A^3/atom
# energy of formation from the pure elements	1.172	eV/atom
# size of the total moment	0.02	Bohr magnetons per cell

=====

# 5
# K2LaOs GGA-PBE optimized geometry
data_K2LaOs
_cell_length_a 7.599
_cell_length_b 7.599
_cell_length_c 7.599
_cell_angle_alpha 90.00
_cell_angle_beta 90.00
_cell_angle_gamma 90.00
_symmetry_space_group_name_H-M 'F -4 3 m'
_symmetry_Int_Tables_number 216
_symmetry_space_group_name_Hall 'F -4 2 3'
loop_
_atom_site_label
_atom_site_fract_x
_atom_site_fract_y
_atom_site_fract_z
K1 0.000 0.000 0.000
K2 0.250 0.250 0.250
La1 0.250 0.250 0.750
Os1 0.000 0.000 0.500
# Fermi-level density of states	11.0	states/eV/cell
# volume	27.421	A^3/atom
# energy of formation from the pure elements	0.945	eV/atom
# size of the total moment	0.00	Bohr magnetons per cell

=====

# 6
# KLaOs3 GGA-PBE optimized geometry
data_KLaOs3
_cell_length_a 4.744
_cell_length_b 4.744
_cell_length_c 4.744
_cell_angle_alpha 90.00
_cell_angle_beta 90.00
_cell_angle_gamma 90.00
_symmetry_space_group_name_H-M 'P m -3 m'
_symmetry_Int_Tables_number 221
_symmetry_space_group_name_Hall '-P 4 2 3'
loop_
_atom_site_label
_atom_site_fract_x
_atom_site_fract_y
_atom_site_fract_z
K1 0.000 0.000 0.000
La1 0.500 0.500 0.500
Os1 0.000 0.000 0.500
# Fermi-level density of states	6.5	states/eV/cell
# volume	21.351	A^3/atom
# energy of formation from the pure elements	2.822	eV/atom
# size of the total moment	0.00	Bohr magnetons per cell

=====

# 7
# KLaOs2 GGA-PBE optimized geometry
data_KLaOs2
_cell_length_a 3.203
_cell_length_b 4.832
_cell_length_c 5.107
_cell_angle_alpha 90.00
_cell_angle_beta 90.00
_cell_angle_gamma 90.00
_symmetry_space_group_name_H-M 'P m m m'
_symmetry_Int_Tables_number 47
loop_
_symmetry_equiv_pos_as_xyz
'x,y,z'
'-x,-y,-z'
'-x,-y,z'
'x,y,-z'
'x,-y,-z'
'-x,y,z'
'-x,y,-z'
'x,-y,z'
loop_
_atom_site_label
_atom_site_fract_x
_atom_site_fract_y
_atom_site_fract_z
K1 0.000 0.000 0.000
La1 0.500 0.500 0.000
Os1 0.000 0.500 0.500
Os2 0.500 0.000 0.500
# Fermi-level density of states	3.5	states/eV/cell
# volume	19.766	A^3/atom
# energy of formation from the pure elements	1.192	eV/atom
# size of the total moment	0.31	Bohr magnetons per cell

=====

# 8
# KLa3Os GGA-PBE optimized geometry
data_KLa3Os
_cell_length_a 5.274
_cell_length_b 5.274
_cell_length_c 5.274
_cell_angle_alpha 90.00
_cell_angle_beta 90.00
_cell_angle_gamma 90.00
_symmetry_space_group_name_H-M 'P m -3 m'
_symmetry_Int_Tables_number 221
_symmetry_space_group_name_Hall '-P 4 2 3'
loop_
_atom_site_label
_atom_site_fract_x
_atom_site_fract_y
_atom_site_fract_z
K1 0.000 0.000 0.000
La1 0.000 0.000 0.500
Os1 0.500 0.500 0.500
# Fermi-level density of states	5.4	states/eV/cell
# volume	29.338	A^3/atom
# energy of formation from the pure elements	1.769	eV/atom
# size of the total moment	0.00	Bohr magnetons per cell

=====

# 9
# KLaOs2 GGA-PBE optimized geometry
data_KLaOs2
_cell_length_a 5.827
_cell_length_b 10.173
_cell_length_c 2.908
_cell_angle_alpha 90.00
_cell_angle_beta 113.69
_cell_angle_gamma 90.00
_symmetry_space_group_name_H-M 'C 1 2/m 1'
_symmetry_Int_Tables_number 12
loop_
_symmetry_equiv_pos_as_xyz
'x,y,z'
'-x,-y,-z'
'-x,y,-z'
'x,-y,z'
'x+1/2,y+1/2,z'
'-x+1/2,-y+1/2,-z'
'-x+1/2,y+1/2,-z'
'x+1/2,-y+1/2,z'
loop_
_atom_site_label
_atom_site_fract_x
_atom_site_fract_y
_atom_site_fract_z
K1 0.000 0.000 0.000
La1 0.000 0.500 0.000
Os1 0.250 0.250 0.500
# Fermi-level density of states	8.1	states/eV/cell
# volume	19.731	A^3/atom
# energy of formation from the pure elements	1.162	eV/atom
# size of the total moment	0.00	Bohr magnetons per cell

=====

# 10
# KLaOs2 GGA-PBE optimized geometry
data_KLaOs2
_cell_length_a 2.974
_cell_length_b 4.837
_cell_length_c 7.332
_cell_angle_alpha 90.00
_cell_angle_beta 98.76
_cell_angle_gamma 90.00
_symmetry_space_group_name_H-M 'P 1 2/m 1'
_symmetry_Int_Tables_number 10
loop_
_symmetry_equiv_pos_as_xyz
'x,y,z'
'-x,-y,-z'
'-x,y,-z'
'x,-y,z'
loop_
_atom_site_label
_atom_site_fract_x
_atom_site_fract_y
_atom_site_fract_z
K1 0.000 0.000 0.000
La1 0.500 0.000 0.500
Os1 0.276 0.500 0.650
# Fermi-level density of states	5.4	states/eV/cell
# volume	26.063	A^3/atom
# energy of formation from the pure elements	0.876	eV/atom
# size of the total moment	0.00	Bohr magnetons per cell

=====

# 11
# KLaOs2 GGA-PBE optimized geometry
data_KLaOs2
_cell_length_a 3.093
_cell_length_b 4.974
_cell_length_c 11.424
_cell_angle_alpha 90.00
_cell_angle_beta 90.00
_cell_angle_gamma 90.00
_symmetry_space_group_name_H-M 'C m m 2'
_symmetry_Int_Tables_number 35
loop_
_symmetry_equiv_pos_as_xyz
'x,y,z'
'-x,-y,z'
'-x,y,z'
'x,-y,z'
'x+1/2,y+1/2,z'
'-x+1/2,-y+1/2,z'
'-x+1/2,y+1/2,z'
'x+1/2,-y+1/2,z'
loop_
_atom_site_label
_atom_site_fract_x
_atom_site_fract_y
_atom_site_fract_z
K1 0.000 0.000 0.000
La1 0.000 0.500 0.650
Os1 0.000 0.000 0.430
Os2 0.000 0.500 0.248
# Fermi-level density of states	10.7	states/eV/cell
# volume	21.969	A^3/atom
# energy of formation from the pure elements	1.105	eV/atom
# size of the total moment	0.09	Bohr magnetons per cell

=====

# 12
# KLaOs2 GGA-PBE optimized geometry
data_KLaOs2
_cell_length_a 4.169
_cell_length_b 4.806
_cell_length_c 12.661
_cell_angle_alpha 90.00
_cell_angle_beta 90.00
_cell_angle_gamma 90.00
_symmetry_space_group_name_H-M 'I m m 2'
_symmetry_Int_Tables_number 44
loop_
_symmetry_equiv_pos_as_xyz
'x,y,z'
'-x,-y,z'
'-x,y,z'
'x,-y,z'
'x+1/2,y+1/2,z+1/2'
'-x+1/2,-y+1/2,z+1/2'
'-x+1/2,y+1/2,z+1/2'
'x+1/2,-y+1/2,z+1/2'
loop_
_atom_site_label
_atom_site_fract_x
_atom_site_fract_y
_atom_site_fract_z
K1 0.000 0.000 0.000
La1 0.000 0.500 0.763
Os1 0.000 0.000 0.632
Os2 0.000 0.500 0.219
# Fermi-level density of states	9.0	states/eV/cell
# volume	31.705	A^3/atom
# energy of formation from the pure elements	0.603	eV/atom
# size of the total moment	0.00	Bohr magnetons per cell